Record 1
Compound: NdCo5P3
Source: the Alexandria database
Functional: PBE
Structure: relaxed

Output
Energy of formation from the pure elements ... -0.7819 eV per atom
ΔE to the lowest computed polymorph ... 0 meV/atom

POSCAR file:
```
NdCo5P3
1.0
-1.4014 -0.1096 3.3314
5.9204 -0.6889 0.5055
1.2360 11.2748 0.8908
Nd Co P
2 10 6
direct
0.8394 0.6788 0.7500
0.1606 0.3212 0.2500
0.8015 0.6031 0.4308
0.1985 0.3969 0.9308
0.0000 0.0000 0.5000
0.0000 0.0000 0.0000
0.4459 0.8918 0.1427
0.5541 0.1082 0.8573
0.5541 0.1082 0.6427
0.8015 0.6031 0.0692
0.1985 0.3969 0.5692
0.4459 0.8918 0.3573
0.3831 0.7661 0.9613
0.8902 0.7805 0.2500
0.3831 0.7661 0.5387
0.6169 0.2339 0.4613
0.1098 0.2195 0.7500
0.6169 0.2339 0.0387
```


Record 2
Compound: NaLiCeBr6
Source: the Alexandria database
Functional: PBE
Structure: relaxed

Output
ΔE_f (raw) ... -1.561 eV per atom

POSCAR file:
```
NaLiCeBr6
1.0
-1.0012 -2.2297 6.6586
5.0556 -2.9505 -4.0057
8.7565 9.0860 4.3592
Na Li Ce Br
2 2 2 12
direct
0.0000 0.0000 0.0000
0.0000 0.0000 0.5000
0.6667 0.3333 0.2500
0.3333 0.6667 0.7500
0.3333 0.6667 0.2500
0.6667 0.3333 0.7500
0.6484 0.6458 0.1312
0.9974 0.3516 0.1312
0.3516 0.9974 0.6312
0.0026 0.6484 0.8688
0.3542 0.3516 0.3688
0.9974 0.6458 0.3688
0.6458 0.9974 0.8688
0.6484 0.0026 0.3688
0.0026 0.3542 0.6312
0.3542 0.0026 0.1312
0.6458 0.6484 0.6312
0.3516 0.3542 0.8688
```


Record 3
Compound: Sc2NiPb
Source: the Alexandria database
Functional: PBE
Structure: relaxed

Output
Energy of formation from the pure elements ... -0.0783 eV per atom

POSCAR file:
```
Sc2NiPb
1.0
7.5027 3.1511 4.4193
7.6246 -0.3263 5.2449
8.9723 0.8222 2.1379
Pb Ni Sc
1 1 2
direct
0.0000 0.0000 0.0000
0.5000 0.5000 0.5000
0.8875 0.8875 0.8875
0.1125 0.1125 0.1125
```


Record 4
Compound: UMn4As2
Source: the Alexandria database
Functional: PBE
Structure: relaxed

Output
Energy of formation from the pure elements ... -0.0230 eV per atom

POSCAR file:
```
UMn4As2
1.0
-2.9824 -1.9685 0.7636
-0.5634 -0.5318 -3.5711
6.1796 -5.3168 1.6864
U Mn As
1 4 2
direct
0.0000 0.0000 0.0000
0.1374 0.1374 0.2749
0.8626 0.8626 0.7251
0.2500 0.7500 0.5000
0.7500 0.2500 0.5000
0.6324 0.6324 0.2647
0.3676 0.3676 0.7353
```


Record 5
Compound: Ho4Zn2Cd
Source: the Alexandria database
Functional: PBE
Structure: relaxed

Output
Energy of formation from the pure elements ... -0.1749 eV per atom
ΔE to the lowest computed polymorph ... 0 meV/atom

POSCAR file:
```
Ho4Zn2Cd
1.0
-0.7955 2.3947 4.3800
-3.0366 -2.0467 3.4844
5.0293 -3.7202 5.8643
Ho Zn Cd
4 2 1
direct
0.8686 0.8686 0.3943
0.1314 0.1314 0.6057
0.6154 0.6154 0.1538
0.3846 0.3846 0.8462
0.7457 0.7457 0.7628
0.2543 0.2543 0.2372
0.0000 0.0000 0.0000
```


Record 6
Compound: KMnCo
Source: the Alexandria database
Functional: PBE
Structure: relaxed

Output
Energy of formation from the pure elements ... 0.9547 eV per atom
ΔE to the lowest computed polymorph ... 230 meV/atom

POSCAR file:
```
KMnCo
1.0
3.0629 0.0000 0.0000
-1.5315 2.6526 0.0000
0.0000 0.0000 7.5320
Co K Mn
1 1 1
direct
0.0000 0.0000 0.9535
0.6667 0.3333 0.3139
0.3333 0.6667 0.7326
```


Record 7
Compound: LiNpTl2S4
Source: the Alexandria database
Functional: PBE
Structure: relaxed

Output
ΔE_f (raw) ... -0.884 eV per atom

POSCAR file:
```
LiNpTl2S4
1.0
-0.9478 3.7895 0.9511
-3.1069 -2.4440 6.6420
4.8563 0.0824 4.5116
Li Np Tl S
1 1 2 4
direct
0.5000 0.5000 0.0000
0.0000 0.5000 0.5000
0.0000 0.0000 0.0000
0.5000 0.0000 0.5000
0.0000 0.6944 0.7470
0.0000 0.3056 0.2530
0.5000 0.6919 0.2765
0.5000 0.3081 0.7235
```


Record 8
Compound: CsYSeS
Source: the Alexandria database
Functional: PBE
Structure: relaxed

Output
ΔE_f (raw) ... -1.765 eV per atom

POSCAR file:
```
CsYSeS
1.0
4.1755 -0.0004 0.0000
-2.0872 3.6167 -0.0006
-2.0871 -1.2060 8.3129
Cs Y Se S
1 1 1 1
direct
0.9694 0.3829 0.3673
0.2977 0.5467 0.8598
0.0942 0.9451 0.0546
0.5165 0.1561 0.6881
```


no.,density (g/cm³),electronic total energy (eV per atom)
1,7.5,-7.063
2,3.7,-3.694
3,5.9,-5.616
4,9.5,-8.204
5,8.4,-3.286
6,4.2,-4.836
7,6.6,-5.396
8,4.4,-5.497